# Er4IrAu2

Crystalline Er4IrAu2 at its relaxed geometry (GGA-PBE, Alexandria via LeMat-Bulk).

It has space group R-3m (No. 166, hexagonal axes), with a = 4.9388 Å, b = 4.9388 Å, c = 24.3020 Å, α = 90.00°, β = 90.00° and γ = 120.00°. The asymmetric unit holds Er at (0.0000, 0.0000, 0.1211), Er at (0.0000, 0.0000, 0.3714), Ir at (0.0000, 0.0000, 0.0000) and Au at (0.0000, 0.0000, 0.2434).

The formation energy is -5.2 eV/f.u.

# Ce2OsF

Crystalline Ce2OsF at its relaxed geometry (GGA-PBE, Alexandria via LeMat-Bulk).

It has space group P4/mmm (No. 123), with a = 3.1689 Å, b = 3.1689 Å, c = 7.5672 Å, α = 90.00°, β = 90.00° and γ = 90.00°. The asymmetric unit holds Ce at (0.0000, 0.0000, 0.2502), Os at (0.5000, 0.5000, 0.0000) and F at (0.5000, 0.5000, 0.5000).

The value obtained for the raw formation energy is -1.1839 eV/atom.

# AlW2Au

Crystalline AlW2Au at its relaxed geometry (GGA-PBE, Alexandria via LeMat-Bulk).

It has space group C2/m (No. 12), with a = 9.8483 Å, b = 3.4464 Å, c = 4.1755 Å, α = 90.00°, β = 114.99° and γ = 90.00°. The asymmetric unit holds Al at (0.0000, 0.0000, 0.0000), W at (0.2447, 0.5000, 0.2447) and Au at (0.0000, 0.5000, 0.5000).

The formation energy is 0.6 eV/f.u.

The following total energy values (in eV/cell) correspond, in order, to the records above: -116.56, -29.70, -64.65.